First-principles (PBE) data for crystalline V2InRh at its relaxed geometry, as listed in Alexandria.

a b c (Å): 5.7381 5.7381 5.7381
angles (deg): 102.24 102.24 125.17
Closest atoms and distances in Å follow each position.
Sites, in units of the cell vectors:
V (0.0796, 0.6250, 0.9546)  2 Rh 2.42
V (0.3750, 0.3296, 0.4546)  2 Rh 2.42
V (0.6704, 0.1250, 0.0454)  2 Rh 2.42
V (0.8750, 0.9204, 0.5454)  2 Rh 2.42
In (0.2500, 0.7500, 0.5000)  2 Rh 2.64, 4 V 2.86
In (0.5000, 0.5000, 0.0000)  2 Rh 2.64, 4 V 2.86
Rh (0.0000, 0.0000, 0.0000)  4 V 2.42, 2 In 2.64
Rh (0.7500, 0.2500, 0.5000)  4 V 2.42, 2 In 2.64

The density of states at the Fermi level comes out at 7.9 states/eV per cell. Its formation enthalpy at 0 K is 334 meV per atom. Its space-group type is I-42d. For the magnetic moment, the calculation gives 0.00 μB per formula unit.

---

First-principles (PBE) data for crystalline ZrZnNi at its relaxed geometry, as listed in Alexandria.

a b c (Å): 4.2231 4.2231 4.2231
angles (deg): 60.00 60.00 60.00
Closest atoms and distances in Å follow each position.
Sites, in units of the cell vectors:
Zr (0.0000, 0.0000, 0.0000)  4 Ni 2.59
Zn (0.5000, 0.5000, 0.5000)  4 Ni 2.59
Ni (0.7500, 0.7500, 0.7500)  4 Zr 2.59, 4 Zn 2.59

The density of states at the Fermi level comes out at 4.9 states/eV per cell. Its formation enthalpy at 0 K is -176 meV per atom. Its space-group type is F-43m. For the magnetic moment, the calculation gives 0.21 μB per formula unit.

---

First-principles (PBE) data for crystalline Mg2ZrAl at its relaxed geometry, as listed in Alexandria.

a b c (Å): 6.2820 6.2820 6.2820
angles (deg): 102.12 102.12 125.47
Closest atoms and distances in Å follow each position.
Sites, in units of the cell vectors:
Mg (0.0934, 0.1250, 0.4684)  2 Al 2.72, 2 Mg 2.92
Mg (0.3750, 0.9066, 0.0316)  2 Al 2.72, 2 Mg 2.92
Mg (0.6566, 0.6250, 0.5316)  2 Al 2.72, 2 Mg 2.92
Mg (0.8750, 0.3434, 0.9684)  2 Al 2.72, 2 Mg 2.92
Zr (0.2500, 0.7500, 0.5000)  2 Al 2.88, 4 Mg 3.06
Zr (0.5000, 0.5000, 0.0000)  2 Al 2.88, 4 Mg 3.06
Al (0.0000, 0.0000, 0.0000)  4 Mg 2.72, 2 Zr 2.88
Al (0.7500, 0.2500, 0.5000)  4 Mg 2.72, 2 Zr 2.88

The density of states at the Fermi level comes out at 8.0 states/eV per cell. Its formation enthalpy at 0 K is 282 meV per atom. Its space-group type is I-42d. For the magnetic moment, the calculation gives 0.00 μB per formula unit.

---

First-principles (PBE) data for crystalline Tb2Y5HoSc at its relaxed geometry, as listed in Alexandria.

a b c (Å): 10.4814 10.4814 10.2804
angles (deg): 90.00 90.00 149.44
Closest atoms and distances in Å follow each position.
Sites, in units of the cell vectors:
Tb (0.1101, 0.8899, 0.5000)  8 Y 3.22-3.53, 1 Sc 3.43
Tb (0.1162, 0.8838, 0.9220)  1 Sc 3.28, 4 Y 3.51-3.54, 2 Ho 3.56
Tb (0.8838, 0.1162, 0.4220)  1 Sc 3.28, 4 Y 3.51-3.54, 2 Ho 3.56
Tb (0.8899, 0.1101, 0.0000)  8 Y 3.22-3.53, 1 Sc 3.43
Y (0.0162, 0.9838, 0.2012)  2 Ho 3.25, 4 Tb 3.29-3.61, 1 Sc 3.52, 2 Y 3.60
Y (0.2690, 0.7310, 0.5207)  1 Ho 3.02, 1 Tb 3.22
Y (0.3008, 0.6992, 0.8880)  2 Sc 3.34, 1 Ho 3.35, 4 Y 3.39-3.69, 2 Tb 3.49
Y (0.3683, 0.6317, 0.2091)  4 Tb 3.53-3.54, 4 Y 3.57-3.78, 1 Sc 3.60
Y (0.4823, 0.5177, 0.9256)  2 Ho 3.13-3.35, 2 Tb 3.42
Y (0.5177, 0.4823, 0.4256)  2 Ho 3.13-3.35, 2 Tb 3.42
Y (0.6317, 0.3683, 0.7091)  4 Tb 3.53-3.54, 4 Y 3.57-3.78, 1 Sc 3.60
Y (0.6992, 0.3008, 0.3880)  2 Sc 3.34, 1 Ho 3.35, 4 Y 3.39-3.69, 2 Tb 3.49
Y (0.7310, 0.2690, 0.0207)  1 Ho 3.02, 1 Tb 3.22
Y (0.9838, 0.0162, 0.7012)  2 Ho 3.25, 4 Tb 3.29-3.61, 1 Sc 3.52, 2 Y 3.60
Ho (0.4060, 0.5940, 0.6367)  6 Y 3.02-3.35
Ho (0.5940, 0.4060, 0.1367)  6 Y 3.02-3.35
Sc (0.1902, 0.8098, 0.2057)  2 Tb 3.28-3.43, 7 Y 3.34-3.61, 2 Ho 3.45
Sc (0.8098, 0.1902, 0.7057)  2 Tb 3.28-3.43, 7 Y 3.34-3.61, 2 Ho 3.45

The density of states at the Fermi level comes out at 31.6 states/eV per cell. Its formation enthalpy at 0 K is 159 meV per atom. Its space-group type is Cmc2_1. For the magnetic moment, the calculation gives 0.00 μB per formula unit.